# 1
VASP calculation (SCAN) on a PBEsol-optimized structure of CsSi2Ag.

Unit cell a=7.125 b=7.125 c=7.125 alpha=90.00 beta=90.00 gamma=90.00
Space group Fm-3m (No. 225)
Unique sites:
Cs 0.000 0.000 0.000 (multiplicity 4)
Si 0.250 0.250 0.250 (multiplicity 8)
Ag 0.000 0.000 0.500 (multiplicity 4)

Summary:
E_form (uncorrected) = 4.59 eV/f.u.

---

# 2
VASP calculation (SCAN) on a PBEsol-optimized structure of Cs2NaTaCl6.

Unit cell a=10.351 b=10.351 c=10.351 alpha=90.00 beta=90.00 gamma=90.00
Space group Fm-3m (No. 225)
Unique sites:
Cs 0.250 0.250 0.250 (multiplicity 8)
Na 0.000 0.000 0.000 (multiplicity 4)
Ta 0.000 0.000 0.500 (multiplicity 4)
Cl 0.000 0.000 0.263 (multiplicity 24)

Summary:
E_form (uncorrected) = -18.07 eV/f.u.

---

# 3
VASP calculation (SCAN) on a PBEsol-optimized structure of RbZrIr3.

Unit cell a=4.694 b=4.694 c=4.694 alpha=90.00 beta=90.00 gamma=90.00
Space group Pm-3m (No. 221)
Unique sites:
Rb 0.000 0.000 0.000 (multiplicity 1)
Zr 0.500 0.500 0.500 (multiplicity 1)
Ir 0.000 0.000 0.500 (multiplicity 3)

Summary:
Offset from the most stable computed form = 1449 meV per atom
DFT formation energy = 2.80 eV/atom

---

# 4
VASP calculation (SCAN) on a PBEsol-optimized structure of Na5V12O32.

Unit cell a=14.843 b=7.172 c=12.091 alpha=90.00 beta=107.83 gamma=90.00
Space group Cm (No. 8)
Unique sites:
Na 0.000 0.000 0.000 (multiplicity 2)
Na 0.001 0.500 0.995 (multiplicity 2)
Na 0.031 0.500 0.377 (multiplicity 2)
Na 0.496 0.251 0.649 (multiplicity 4)
V 0.158 0.250 0.237 (multiplicity 4)
V 0.181 0.000 0.864 (multiplicity 2)
V 0.181 0.500 0.865 (multiplicity 2)
V 0.211 0.250 0.512 (multiplicity 4)
V 0.287 0.000 0.131 (multiplicity 2)
V 0.289 0.500 0.134 (multiplicity 2)
V 0.317 0.250 0.781 (multiplicity 4)
V 0.338 0.000 0.405 (multiplicity 2)
V 0.341 0.500 0.405 (multiplicity 2)
O 0.060 0.253 0.131 (multiplicity 4)
O 0.073 0.500 0.777 (multiplicity 2)
O 0.074 0.000 0.775 (multiplicity 2)
O 0.122 0.252 0.363 (multiplicity 4)
O 0.138 0.256 0.587 (multiplicity 4)
O 0.168 0.000 0.001 (multiplicity 2)
O 0.169 0.500 0.001 (multiplicity 2)
O 0.194 0.000 0.250 (multiplicity 2)
O 0.194 0.500 0.250 (multiplicity 2)
O 0.220 0.250 0.863 (multiplicity 4)
O 0.239 0.000 0.493 (multiplicity 2)
O 0.239 0.500 0.493 (multiplicity 2)
O 0.258 0.250 0.151 (multiplicity 4)
O 0.278 0.000 0.781 (multiplicity 2)
O 0.278 0.500 0.782 (multiplicity 2)
O 0.303 0.250 0.395 (multiplicity 4)
O 0.329 0.249 0.644 (multiplicity 4)
O 0.358 0.000 0.054 (multiplicity 2)
O 0.358 0.500 0.054 (multiplicity 2)
O 0.375 0.000 0.281 (multiplicity 2)
O 0.377 0.500 0.281 (multiplicity 2)
O 0.424 0.250 0.869 (multiplicity 4)
O 0.438 0.500 0.513 (multiplicity 2)
O 0.439 0.000 0.509 (multiplicity 2)

Summary:
E_form (uncorrected) = -123.94 eV/f.u.

---

# 5
VASP calculation (SCAN) on a PBEsol-optimized structure of MnSe2Br.

Unit cell a=2.895 b=2.895 c=9.562 alpha=90.00 beta=90.00 gamma=90.00
Space group P4/mmm (No. 123)
Unique sites:
Mn 0.000 0.000 0.000 (multiplicity 1)
Se 0.500 0.500 0.154 (multiplicity 2)
Br 0.000 0.000 0.500 (multiplicity 1)

Summary:
E_form (uncorrected) = -0.05 eV/f.u.

---

# 6
VASP calculation (SCAN) on a PBEsol-optimized structure of K2AgSb.

Unit cell a=3.080 b=6.272 c=6.746 alpha=90.00 beta=90.00 gamma=90.00
Space group Pmm2 (No. 25)
Unique sites:
K 0.000 0.000 0.000 (multiplicity 1)
K 0.500 0.500 0.495 (multiplicity 1)
Ag 0.500 0.500 0.994 (multiplicity 1)
Sb 0.000 0.000 0.500 (multiplicity 1)

Summary:
E_form (uncorrected) = -0.05 eV/f.u.

---

# 7
VASP calculation (SCAN) on a PBEsol-optimized structure of InCuNF2.

Unit cell a=3.786 b=3.786 c=4.124 alpha=90.00 beta=90.00 gamma=90.00
Space group P4/mmm (No. 123)
Unique sites:
In 0.000 0.000 0.000 (multiplicity 1)
Cu 0.500 0.500 0.500 (multiplicity 1)
N 0.500 0.500 0.000 (multiplicity 1)
F 0.000 0.500 0.500 (multiplicity 2)

Summary:
E_form (uncorrected) = -2.95 eV/f.u.

---

# 8
VASP calculation (SCAN) on a PBEsol-optimized structure of LiB6H21N5.

Unit cell a=9.035 b=8.090 c=16.010 alpha=90.00 beta=111.68 gamma=90.00
Space group P2_1/c (No. 14)
Unique sites:
Li 0.043 0.102 0.143 (multiplicity 4)
B 0.324 0.097 0.472 (multiplicity 4)
B 0.344 0.588 0.918 (multiplicity 4)
B 0.362 0.591 0.032 (multiplicity 4)
B 0.433 0.098 0.400 (multiplicity 4)
B 0.461 0.093 0.584 (multiplicity 4)
B 0.495 0.710 0.998 (multiplicity 4)
H 0.004 0.732 0.733 (multiplicity 4)
H 0.032 0.615 0.929 (multiplicity 4)
H 0.080 0.098 0.318 (multiplicity 4)
H 0.115 0.599 0.248 (multiplicity 4)
H 0.135 0.155 0.556 (multiplicity 4)
H 0.141 0.089 0.654 (multiplicity 4)
H 0.141 0.507 0.519 (multiplicity 4)
H 0.196 0.165 0.451 (multiplicity 4)
H 0.204 0.099 0.952 (multiplicity 4)
H 0.232 0.651 0.860 (multiplicity 4)
H 0.237 0.673 0.651 (multiplicity 4)
H 0.246 0.598 0.468 (multiplicity 4)
H 0.261 0.655 0.055 (multiplicity 4)
H 0.277 0.565 0.745 (multiplicity 4)
H 0.337 0.001 0.166 (multiplicity 4)
H 0.372 0.081 0.811 (multiplicity 4)
H 0.384 0.167 0.327 (multiplicity 4)
H 0.392 0.624 0.320 (multiplicity 4)
H 0.395 0.527 0.229 (multiplicity 4)
H 0.434 0.160 0.644 (multiplicity 4)
H 0.492 0.641 0.496 (multiplicity 4)
N 0.002 0.643 0.241 (multiplicity 4)
N 0.079 0.166 0.601 (multiplicity 4)
N 0.156 0.514 0.458 (multiplicity 4)
N 0.242 0.554 0.676 (multiplicity 4)
N 0.344 0.529 0.276 (multiplicity 4)

Summary:
Raw total energy = -5.43 eV per atom

---

# 9
VASP calculation (SCAN) on a PBEsol-optimized structure of Li3CrO4.

Unit cell a=5.675 b=5.675 c=8.063 alpha=90.00 beta=90.00 gamma=90.00
Space group P4_122 (No. 91)
Unique sites:
Li 0.000 0.239 0.000 (multiplicity 4)
Li 0.000 0.255 0.500 (multiplicity 4)
Li 0.252 0.500 0.750 (multiplicity 4)
Cr 0.224 0.500 0.250 (multiplicity 4)
O 0.023 0.268 0.244 (multiplicity 8)
O 0.267 0.492 0.479 (multiplicity 8)

Summary:
E_form (uncorrected) = -17.48 eV/f.u.
Offset from the most stable computed form = 69 meV per atom

---

# 10
VASP calculation (SCAN) on a PBEsol-optimized structure of Li2MnRh.

Unit cell a=2.895 b=4.157 c=8.816 alpha=90.00 beta=90.00 gamma=90.00
Space group Immm (No. 71)
Unique sites:
Li 0.000 0.000 0.242 (multiplicity 4)
Mn 0.000 0.500 0.000 (multiplicity 2)
Rh 0.000 0.500 0.500 (multiplicity 2)

Summary:
Offset from the most stable computed form = 0 meV per atom
DFT formation energy = -0.23 eV/atom

---

# 11
VASP calculation (SCAN) on a PBEsol-optimized structure of TaMnRu2.

Unit cell a=2.776 b=3.670 c=5.448 alpha=90.00 beta=90.00 gamma=90.00
Space group Pmm2 (No. 25)
Unique sites:
Ta 0.000 0.000 0.000 (multiplicity 1)
Mn 0.500 0.500 0.265 (multiplicity 1)
Ru 0.000 0.000 0.488 (multiplicity 1)
Ru 0.500 0.500 0.735 (multiplicity 1)

Summary:
Offset from the most stable computed form = 403 meV per atom
DFT formation energy = -0.07 eV/atom

---

# 12
VASP calculation (SCAN) on a PBEsol-optimized structure of KTeOF3.

Unit cell a=10.069 b=10.069 c=7.846 alpha=90.00 beta=90.00 gamma=90.00
Space group P4_2/n (No. 86, origin choice 2)
Unique sites:
K 0.000 0.000 0.000 (multiplicity 4)
K 0.250 0.250 0.250 (multiplicity 2)
K 0.250 0.250 0.750 (multiplicity 2)
Te 0.096 0.619 0.038 (multiplicity 8)
O 0.004 0.029 0.653 (multiplicity 8)
F 0.013 0.238 0.395 (multiplicity 8)
F 0.067 0.255 0.988 (multiplicity 8)
F 0.111 0.689 0.281 (multiplicity 8)

Summary:
E_form (uncorrected) = -13.64 eV/f.u.
Offset from the most stable computed form = 0 meV per atom

---

# 13
VASP calculation (SCAN) on a PBEsol-optimized structure of Cr2OsPb.

Unit cell a=2.972 b=2.972 c=6.797 alpha=90.00 beta=90.00 gamma=90.00
Space group P4mm (No. 99)
Unique sites:
Cr 0.000 0.000 0.000 (multiplicity 1)
Cr 0.500 0.500 0.175 (multiplicity 1)
Os 0.000 0.000 0.390 (multiplicity 1)
Pb 0.500 0.500 0.705 (multiplicity 1)

Summary:
DFT formation energy = 0.68 eV/atom

---

# 14
VASP calculation (SCAN) on a PBEsol-optimized structure of BaYIr2.

Unit cell a=3.6588 b=3.6588 c=24.6835 alpha=90.00 beta=90.00 gamma=120.00
Space group R-3m (No. 166, hexagonal axes)
Unique sites:
Ba 0.0000 0.0000 0.0000 (multiplicity 3)
Y 0.0000 0.0000 0.5000 (multiplicity 3)
Ir 0.0000 0.0000 0.2420 (multiplicity 6)

Summary:
Offset from the most stable computed form = 467 meV per atom
DFT formation energy = 0.17 eV/atom

---

# 15
VASP calculation (SCAN) on a PBEsol-optimized structure of Zr4Hg.

Unit cell a=7.133 b=7.133 c=4.193 alpha=90.00 beta=90.00 gamma=90.00
Space group I4/m (No. 87)
Unique sites:
Zr 0.112 0.693 0.000 (multiplicity 8)
Hg 0.000 0.000 0.500 (multiplicity 2)

Summary:
DFT formation energy = -0.17 eV/atom

---

| no. | magnetic moment (μB per formula unit) |
| --- | --- |
| 1 | 0.0 |
| 2 | 2.0 |
| 3 | 0.0 |
| 4 | 1.0 |
| 5 | 1.3 |
| 6 | 0.0 |
| 7 | 0.0 |
| 8 | 0.2 |
| 9 | 1.0 |
| 10 | 4.2 |
| 11 | 2.7 |
| 12 | 0.0 |
| 13 | 0.0 |
| 14 | 0.9 |
| 15 | 0.0 |